1.
# PBE Zr2TlTc, optimized geometry
# - mass density (Mg/m³) = 9.33
# - total magnetization (μB per cell) = 0.0
# - calculated formation energy (eV/atom) = -0.0630
data_Zr2TlTc
_chemical_formula_sum 'Zr6 Tl3 Tc3'
_symmetry_space_group_name_H-M 'R -3 m'
_symmetry_Int_Tables_number 166
_symmetry_space_group_name_Hall '-R 3 2"'
_cell_length_a 3.3193
_cell_length_b 3.3193
_cell_length_c 27.1290
_cell_angle_alpha 90.00
_cell_angle_beta 90.00
_cell_angle_gamma 120.00
loop_
_atom_site_label
_atom_site_type_symbol
_atom_site_fract_x
_atom_site_fract_y
_atom_site_fract_z
Zr1 Zr 0.0000 0.0000 0.2378
Tl1 Tl 0.0000 0.0000 0.0000
Tc1 Tc 0.0000 0.0000 0.5000

---

2.
# PBE ZrTlTc2, optimized geometry
# - mass density (Mg/m³) = 11.35
# - total magnetization (μB per cell) = 0.0
# - calculated formation energy (eV/atom) = 0.2708
# - energy relative to the lowest polymorph listed for this composition (meV/atom) = 207
data_ZrTlTc2
_chemical_formula_sum 'Zr4 Tl4 Tc8'
_symmetry_space_group_name_H-M 'F m -3 m'
_symmetry_Int_Tables_number 225
_symmetry_space_group_name_Hall '-F 4 2 3'
_cell_length_a 6.601
_cell_length_b 6.601
_cell_length_c 6.601
_cell_angle_alpha 90.00
_cell_angle_beta 90.00
_cell_angle_gamma 90.00
loop_
_atom_site_label
_atom_site_type_symbol
_atom_site_fract_x
_atom_site_fract_y
_atom_site_fract_z
Zr1 Zr 0.000 0.000 0.000
Tl1 Tl 0.000 0.000 0.500
Tc1 Tc 0.250 0.250 0.250

---

3.
# PBE Zr2TlTc, optimized geometry
# - mass density (Mg/m³) = 8.42
# - total magnetization (μB per cell) = 0.0
# - calculated formation energy (eV/atom) = 0.5189
data_Zr2TlTc
_chemical_formula_sum 'Zr4 Tl2 Tc2'
_symmetry_space_group_name_H-M 'I m m m'
_symmetry_Int_Tables_number 71
_symmetry_space_group_name_Hall '-I 2 2'
_cell_length_a 3.235
_cell_length_b 4.470
_cell_length_c 13.225
_cell_angle_alpha 90.00
_cell_angle_beta 90.00
_cell_angle_gamma 90.00
loop_
_atom_site_label
_atom_site_type_symbol
_atom_site_fract_x
_atom_site_fract_y
_atom_site_fract_z
Zr1 Zr 0.000 0.000 0.185
Tl1 Tl 0.000 0.000 0.500
Tc1 Tc 0.000 0.000 0.000

---

4.
# PBE Zr2TlTc, optimized geometry
# - mass density (Mg/m³) = 9.93
# - total magnetization (μB per cell) = 0.0
# - calculated formation energy (eV/atom) = 0.0613
data_Zr2TlTc
_chemical_formula_sum 'Zr4 Tl2 Tc2'
_symmetry_space_group_name_H-M 'I -4 m 2'
_symmetry_Int_Tables_number 119
_symmetry_space_group_name_Hall 'I -4 -2'
_cell_length_a 4.175
_cell_length_b 4.175
_cell_length_c 9.304
_cell_angle_alpha 90.00
_cell_angle_beta 90.00
_cell_angle_gamma 90.00
loop_
_atom_site_label
_atom_site_type_symbol
_atom_site_fract_x
_atom_site_fract_y
_atom_site_fract_z
Zr1 Zr 0.000 0.000 0.000
Zr2 Zr 0.000 0.500 0.250
Tl1 Tl 0.000 0.000 0.500
Tc1 Tc 0.000 0.500 0.750

---

5.
# PBE Zr6Tl2Tc, optimized geometry
# - mass density (Mg/m³) = 8.67
# - total magnetization (μB per cell) = 0.0
# - calculated formation energy (eV/atom) = -0.1413
data_Zr6Tl2Tc
_chemical_formula_sum 'Zr6 Tl2 Tc1'
_symmetry_space_group_name_H-M 'P -6 2 m'
_symmetry_Int_Tables_number 189
_symmetry_space_group_name_Hall 'P -6 -2'
_cell_length_a 8.2479
_cell_length_b 8.2479
_cell_length_c 3.4269
_cell_angle_alpha 90.00
_cell_angle_beta 90.00
_cell_angle_gamma 120.00
loop_
_atom_site_label
_atom_site_type_symbol
_atom_site_fract_x
_atom_site_fract_y
_atom_site_fract_z
Zr1 Zr 0.0000 0.2516 0.0000
Zr2 Zr 0.0000 0.6197 0.5000
Tl1 Tl 0.3333 0.6667 0.0000
Tc1 Tc 0.0000 0.0000 0.5000

---

6.
# PBE Zr2TlTc, optimized geometry
# - mass density (Mg/m³) = 9.86
# - total magnetization (μB per cell) = 0.0
# - calculated formation energy (eV/atom) = 0.0241
data_Zr2TlTc
_chemical_formula_sum 'Zr2 Tl1 Tc1'
_symmetry_space_group_name_H-M 'P 4 m m'
_symmetry_Int_Tables_number 99
_symmetry_space_group_name_Hall 'P 4 -2'
_cell_length_a 3.458
_cell_length_b 3.458
_cell_length_c 6.825
_cell_angle_alpha 90.00
_cell_angle_beta 90.00
_cell_angle_gamma 90.00
loop_
_atom_site_label
_atom_site_type_symbol
_atom_site_fract_x
_atom_site_fract_y
_atom_site_fract_z
Zr1 Zr 0.000 0.000 0.000
Zr2 Zr 0.500 0.500 0.266
Tl1 Tl 0.500 0.500 0.718
Tc1 Tc 0.000 0.000 0.471